1.
A relaxed CaTeAu2 crystal, computed with GGA-PBE.

D(E_F) ... 0.283 states/eV per atom
Spin magnetization ... 0.00 μB per atom
Formation energy (no corrections) ... -11.4 kcal/mol of atoms
Volume ... 93.30 Å³ per cell

Cell: 5.0909 5.0909 5.0909 Å, 60.00 60.00 60.00°
Closest atoms and distances in Å follow each position.
Sites, in units of the cell vectors:
Te1 0.5000 0.5000 0.5000  8 Au 3.12
Au1 0.2500 0.2500 0.2500  4 Te 3.12, 4 Ca 3.12
Au2 0.7500 0.7500 0.7500  4 Ca 3.12, 4 Te 3.12
Ca1 0.0000 0.0000 0.0000  8 Au 3.12

=====

2.
A relaxed RhSe crystal, computed with GGA-PBE.

D(E_F) ... 0.886 states/eV per atom
Spin magnetization ... 0.00 μB per atom
Formation energy (no corrections) ... -5.2 kcal/mol of atoms
Volume ... 91.35 Å³ per cell

Cell: 7.0179 7.0179 7.0179 Å, 33.02 33.02 33.02°
Closest atoms and distances in Å follow each position.
Sites, in units of the cell vectors:
Se1 0.2484 0.2484 0.2484  4 Rh 2.43-2.47
Se2 0.7516 0.7516 0.7516  4 Rh 2.43-2.47
Rh1 0.1240 0.1240 0.1240  4 Se 2.43-2.47
Rh2 0.8760 0.8760 0.8760  4 Se 2.43-2.47

=====

3.
A relaxed TmPS4 crystal, computed with GGA-PBE.

D(E_F) ... 0.271 states/eV per atom
Spin magnetization ... 0.00 μB per atom
Formation energy (no corrections) ... -14.4 kcal/mol of atoms
Volume ... 267.44 Å³ per cell

Cell: 3.4988 6.5175 12.1464 Å, 74.92 90.00 90.00°
Closest atoms and distances in Å follow each position.
Sites, in units of the cell vectors:
S1 0.0000 0.7813 0.8827  1 P 2.26
S2 0.9997 0.3085 0.6137  2 P 2.37
S3 0.0003 0.6915 0.3863  2 P 2.37
S4 0.4997 0.1915 0.8863  2 P 2.37
S5 0.0000 0.2187 0.1173  1 P 2.26
S6 0.5000 0.2813 0.3827  1 P 2.26
S7 0.5003 0.8085 0.1137  2 P 2.37
S8 0.5000 0.7187 0.6173  1 P 2.26
P1 0.5000 0.5000 0.5000  6 S 2.26-2.37
P2 0.0000 0.0000 0.0000  6 S 2.26-2.37
Tm1 0.0000 0.0000 0.5000  6 S 2.66-2.72
Tm2 0.5000 0.5000 0.0000  6 S 2.66-2.72

=====

4.
A relaxed Tb2PmTmSb4 crystal, computed with GGA-PBE.

D(E_F) ... 0.136 states/eV per atom
Spin magnetization ... 0.00 μB per atom
Formation energy (no corrections) ... -26.1 kcal/mol of atoms
Volume ... 242.63 Å³ per cell

Cell: 4.4125 7.6390 7.6355 Å, 70.51 90.00 90.00°
Closest atoms and distances in Å follow each position.
Sites, in units of the cell vectors:
Sb1 0.0000 0.7523 0.7445  3 Tb 3.09-3.14, 1 Tm 3.10, 2 Pm 3.14
Sb2 0.5000 0.7489 0.2550  3 Tb 3.09-3.14, 2 Tm 3.10, 1 Pm 3.14
Sb3 0.5000 0.2511 0.7450  3 Tb 3.09-3.14, 2 Tm 3.10, 1 Pm 3.14
Sb4 0.0000 0.2477 0.2555  3 Tb 3.09-3.14, 1 Tm 3.10, 2 Pm 3.14
Tb1 0.5000 0.0000 0.5000  6 Sb 3.09
Tb2 0.0000 0.0000 0.0000  6 Sb 3.14
Pm1 0.5000 0.5000 0.0000  6 Sb 3.14
Tm1 0.0000 0.5000 0.5000  6 Sb 3.10

=====

5.
A relaxed PrEuSnAu crystal, computed with GGA-PBE.

D(E_F) ... 2.319 states/eV per atom
Spin magnetization ... 1.80 μB per atom
Energy of formation ... -0.733 eV/atom
Volume ... 113.59 Å³ per cell

Cell: 5.4361 5.4361 5.4361 Å, 60.00 60.00 60.00°
Closest atoms and distances in Å follow each position.
Sites, in units of the cell vectors:
Sn1 0.5000 0.5000 0.5000  4 Pr 3.33, 4 Eu 3.33
Au1 0.0000 0.0000 0.0000  4 Eu 3.33, 4 Pr 3.33
Eu1 0.2500 0.2500 0.2500  4 Sn 3.33, 4 Au 3.33
Pr1 0.7500 0.7500 0.7500  4 Sn 3.33, 4 Au 3.33

=====

6.
A relaxed TbPuOs crystal, computed with GGA-PBE.

D(E_F) ... 2.244 states/eV per atom
Spin magnetization ... 1.82 μB per atom
Energy of formation ... -0.028 eV/atom
Volume ... 72.27 Å³ per cell

Cell: 3.3260 3.3260 6.9432 Å, 103.86 103.86 90.00°
Closest atoms and distances in Å follow each position.
Sites, in units of the cell vectors:
Os1 0.6684 0.6684 0.3368  4 Pu 2.90, 4 Tb 2.94
Tb1 0.0335 0.0335 0.0669  4 Os 2.94
Pu1 0.2981 0.2981 0.5963  4 Os 2.90

=====

7.
A relaxed NiIr2Br crystal, computed with GGA-PBE.

D(E_F) ... 1.427 states/eV per atom
Spin magnetization ... 0.35 μB per atom
Formation energy (no corrections) ... 24.6 kcal/mol of atoms
Volume ... 59.67 Å³ per cell

Cell: 4.3863 4.3863 4.3863 Å, 60.00 60.00 60.00°
Closest atoms and distances in Å follow each position.
Sites, in units of the cell vectors:
Ir1 0.2500 0.2500 0.2500  4 Br 2.69, 4 Ni 2.69
Ir2 0.7500 0.7500 0.7500  4 Br 2.69, 4 Ni 2.69
Ni1 0.0000 0.0000 0.0000  8 Ir 2.69
Br1 0.5000 0.5000 0.5000  8 Ir 2.69

=====

8.
A relaxed Al4Ir5W crystal, computed with GGA-PBE.

D(E_F) ... 0.458 states/eV per atom
Spin magnetization ... 0.00 μB per atom
Energy of formation ... -0.783 eV/atom
Volume ... 140.60 Å³ per cell

Cell: 2.9095 2.9095 16.6087 Å, 90.00 90.00 90.00°
Closest atoms and distances in Å follow each position.
Sites, in units of the cell vectors:
Ir1 0.5000 0.5000 0.3055  8 Al 2.59-2.62
Ir2 0.5000 0.5000 0.1126  4 Al 2.62, 4 W 2.78, 4 Ir 2.91
Ir3 0.5000 0.5000 0.5000  8 Al 2.61, 4 Ir 2.91
Ir4 0.5000 0.5000 0.6945  8 Al 2.59-2.62
Ir5 0.5000 0.5000 0.8874  4 Al 2.62, 4 W 2.78, 4 Ir 2.91
Al1 0.0000 0.0000 0.7897  8 Ir 2.59-2.62
Al2 0.0000 0.0000 0.2103  8 Ir 2.59-2.62
Al3 0.0000 0.0000 0.4033  8 Ir 2.61-2.62, 4 Al 2.91
Al4 0.0000 0.0000 0.5967  8 Ir 2.61-2.62, 4 Al 2.91
W1 0.0000 0.0000 0.0000  8 Ir 2.78, 4 W 2.91

=====

9.
A relaxed Sr4Tm3CuS8 crystal, computed with GGA-PBE.

D(E_F) ... 0.264 states/eV per atom
Spin magnetization ... 0.00 μB per atom
Formation energy (no corrections) ... -41.9 kcal/mol of atoms
Volume ... 370.69 Å³ per cell

Cell: 8.0220 8.1042 8.0235 Å, 119.67 119.99 90.00°
Closest atoms and distances in Å follow each position.
Sites, in units of the cell vectors:
Sr1 0.5000 0.0000 0.0000  6 S 2.96-2.97
Sr2 0.5000 0.0000 0.5000  6 S 2.95-2.97
Sr3 0.0000 0.0000 0.0000  6 S 2.95-2.97
Sr4 0.0000 0.0000 0.5000  6 S 2.95-2.97
S1 0.7595 0.2792 0.0196  2 Tm 2.74, 1 Cu 2.74, 3 Sr 2.97
S2 0.7415 0.7244 0.4830  3 Tm 2.76, 3 Sr 2.95
S3 0.2405 0.7208 0.9804  2 Tm 2.74, 1 Cu 2.74, 3 Sr 2.97
S4 0.2585 0.2756 0.5170  3 Tm 2.76, 3 Sr 2.95
S5 0.7399 0.7208 0.9804  2 Tm 2.74, 1 Cu 2.74, 3 Sr 2.97
S6 0.7593 0.2789 0.5185  2 Tm 2.74, 1 Cu 2.75, 3 Sr 2.96-2.97
S7 0.2601 0.2792 0.0196  2 Tm 2.74, 1 Cu 2.74, 3 Sr 2.97
S8 0.2407 0.7211 0.4815  2 Tm 2.74, 1 Cu 2.75, 3 Sr 2.96-2.97
Tm1 0.0000 0.5000 0.5000  6 S 2.74-2.76
Tm2 0.5000 0.5000 0.0000  6 S 2.74-2.76
Tm3 0.5000 0.5000 0.5000  6 S 2.74-2.76
Cu1 0.0000 0.5000 0.0000  6 S 2.74-2.75

=====

10.
A relaxed CaEr2In4 crystal, computed with GGA-PBE.

D(E_F) ... 0.730 states/eV per atom
Spin magnetization ... 0.00 μB per atom
Energy of formation ... -0.315 eV/atom
Volume ... 203.67 Å³ per cell

Cell: 6.4246 6.4245 6.4246 Å, 112.62 107.92 107.92°
Closest atoms and distances in Å follow each position.
Sites, in units of the cell vectors:
In1 0.0000 0.5000 0.0000  2 Ca 3.21, 4 Er 3.21, 2 In 3.56
In2 0.5000 0.0000 0.0000  4 Er 3.21, 2 Ca 3.21, 2 In 3.56
In3 0.5000 0.5000 0.5000  4 Er 3.21, 2 Ca 3.21, 2 In 3.56
In4 0.0000 0.0000 0.5000  2 Ca 3.21, 4 Er 3.21, 2 In 3.56
Ca1 0.0000 0.0000 0.0000  8 In 3.21
Er1 0.5000 0.0000 0.5000  8 In 3.21, 2 Er 3.56
Er2 0.5000 0.5000 0.0000  8 In 3.21, 2 Er 3.56

=====

11.
A relaxed In2SbMo crystal, computed with GGA-PBE.

D(E_F) ... 0.746 states/eV per atom
Spin magnetization ... 0.00 μB per atom
Formation energy (no corrections) ... 9.7 kcal/mol of atoms
Volume ... 88.94 Å³ per cell

Cell: 3.1147 3.1147 9.4260 Å, 90.00 90.00 103.45°
Closest atoms and distances in Å follow each position.
Sites, in units of the cell vectors:
In1 0.0000 0.0000 0.4695  2 Mo 2.83, 4 In 3.11
In2 0.0000 0.0000 0.0305  2 Mo 2.83, 4 In 3.11
Sb1 0.5000 0.5000 0.7500  4 Sb 3.11, 4 In 3.27
Mo1 0.5000 0.5000 0.2500  4 In 2.83, 4 Mo 3.11

=====

12.
A relaxed BaAcTl2F8 crystal, computed with GGA-PBE.

D(E_F) ... 0.338 states/eV per atom
Spin magnetization ... 0.07 μB per atom
Formation energy (no corrections) ... -70.7 kcal/mol of atoms
Volume ... 232.79 Å³ per cell

Cell: 6.1939 6.1939 7.4833 Å, 114.45 114.45 90.00°
Closest atoms and distances in Å follow each position.
Sites, in units of the cell vectors:
Tl1 0.7500 0.2500 0.5000  8 F 2.81
Tl2 0.0000 0.0000 0.0000  8 F 2.62
F1 0.3488 0.8604 0.2477  1 Ac 2.54, 2 Tl 2.62-2.81, 1 Ba 2.70, 1 F 2.79
F2 0.6127 0.1012 0.7523  1 Ac 2.54, 2 Tl 2.62-2.81, 1 Ba 2.70, 1 F 2.79
F3 0.6127 0.6512 0.7523  1 Ac 2.54, 2 Tl 2.62-2.81, 1 Ba 2.70, 1 F 2.79
F4 0.3488 0.3873 0.2477  1 Ac 2.54, 2 Tl 2.62-2.81, 1 Ba 2.70, 1 F 2.79
F5 0.1396 0.6512 0.7523  1 Ac 2.54, 2 Tl 2.62-2.81, 1 Ba 2.70, 1 F 2.79
F6 0.8988 0.3873 0.2477  1 Ac 2.54, 2 Tl 2.62-2.81, 1 Ba 2.70, 1 F 2.79
F7 0.8988 0.8604 0.2477  1 Ac 2.54, 2 Tl 2.62-2.81, 1 Ba 2.70, 1 F 2.79
F8 0.1396 0.1012 0.7523  1 Ac 2.54, 2 Tl 2.62-2.81, 1 Ba 2.70, 1 F 2.79
Ba1 0.5000 0.5000 0.0000  8 F 2.70
Ac1 0.2500 0.7500 0.5000  8 F 2.54